This record from Alexandria via LeMat-Bulk describes crystalline La6Pr2NdTl at its relaxed geometry. The functional is PBE.

Output
- D(E_F) (states/eV/cell) = 56.36
- DFT formation energy (meV/atom) = 12
- DFT total energy (eV for the cell shown) = -184.566
- total magnetization (μB per formula unit) = 0.000

a = 14.2821 Å, b = 10.6812 Å, c = 9.5080 Å
α = 90.00°, β = 91.21°, γ = 90.00°
With the nearest neighbours (Å) after each atom.
Space group C2/c (No. 15)
Inequivalent atoms, fractional coordinates:
La 0.0955 0.1236 0.3945  2 Tl 3.33-3.67, 1 Nd 3.39, 1 La 3.39, 2 Pr 3.50-3.55
La 0.1131 0.3788 0.6052  1 Nd 3.31, 1 La 3.39, 1 Tl 3.41, 2 Pr 3.53-3.61
La 0.1377 0.2636 0.9995  1 La 3.22, 1 Tl 3.36, 1 Nd 3.38
Pr 0.2386 0.0771 0.6936  7 La 3.50-3.83, 1 Tl 3.51, 1 Nd 3.78
Nd 0.0000 0.3853 0.2500  6 La 3.31-3.39
Tl 0.0000 0.1311 0.7500  8 La 3.33-3.67, 2 Pr 3.51



This record from Alexandria via LeMat-Bulk describes crystalline LaPr2NdTl2 at its relaxed geometry. The functional is PBE.

Output
- D(E_F) (states/eV/cell) = 16.51
- DFT formation energy (meV/atom) = -278
- DFT total energy (eV for the cell shown) = -51.304
- total magnetization (μB per formula unit) = 0.000

a = 5.4280 Å, b = 10.2539 Å, c = 6.9820 Å
α = 90.00°, β = 90.00°, γ = 90.00°
With the nearest neighbours (Å) after each atom.
Space group Pmc2_1 (No. 26)
Inequivalent atoms, fractional coordinates:
La 0.0000 0.0407 0.0000  5 Tl 3.41-3.74, 2 La 3.59, 2 Nd 3.60, 1 Pr 3.73
Pr 0.0000 0.3244 0.3337  5 Tl 3.30-3.68, 2 Pr 3.61
Pr 0.5000 0.4590 0.0569  5 Tl 3.39-3.76, 4 Pr 3.59-3.61, 1 Nd 3.69
Nd 0.5000 0.1781 0.7270  5 Tl 3.31-3.69, 2 La 3.60, 1 Pr 3.69
Tl 0.0000 0.3541 0.8087  5 Pr 3.30-3.68, 2 Nd 3.31, 1 La 3.48
Tl 0.5000 0.1448 0.2527  3 Nd 3.32-3.69, 3 Pr 3.33-3.50, 2 La 3.41



This record from Alexandria via LeMat-Bulk describes crystalline LaPr5Nd2Tl at its relaxed geometry. The functional is PBE.

Output
- D(E_F) (states/eV/cell) = 53.42
- DFT formation energy (meV/atom) = -6
- DFT total energy (eV for the cell shown) = -163.138
- total magnetization (μB per formula unit) = 0.000

a = 5.6737 Å, b = 20.3545 Å, c = 11.0660 Å
α = 90.00°, β = 90.00°, γ = 90.00°
With the nearest neighbours (Å) after each atom.
Space group Cmc2_1 (No. 36)
Inequivalent atoms, fractional coordinates:
La 0.0000 0.1996 0.0000  2 Tl 3.59, 8 Pr 3.60-3.82, 2 Nd 3.70
Pr 0.0000 0.0120 0.9997  2 Tl 3.27, 2 Nd 3.45-3.46
Pr 0.0000 0.2902 0.3008  1 Tl 3.25, 2 Pr 3.47, 3 Nd 3.53-3.58, 2 La 3.60
Pr 0.0000 0.2909 0.6991  1 Tl 3.26, 2 Pr 3.47, 3 Nd 3.54-3.57, 2 La 3.60
Pr 0.0000 0.3825 0.9997  4 Nd 3.62, 6 Pr 3.66-3.87, 1 La 3.72
Pr 0.0000 0.5001 0.2492  2 Tl 3.34, 2 Pr 3.66, 2 Nd 3.74
Nd 0.0000 0.1167 0.2971  8 Pr 3.45-3.74, 1 La 3.70
Nd 0.0000 0.1172 0.7024  8 Pr 3.46-3.74, 1 La 3.70
Tl 0.0000 0.4081 0.4988  6 Pr 3.25-3.34, 2 La 3.59



This record from Alexandria via LeMat-Bulk describes crystalline LaPrNd2Tl2 at its relaxed geometry. The functional is PBE.

Output
- D(E_F) (states/eV/cell) = 16.33
- DFT formation energy (meV/atom) = -278
- DFT total energy (eV for the cell shown) = -51.283
- total magnetization (μB per formula unit) = 0.000

a = 5.4183 Å, b = 10.2263 Å, c = 6.9743 Å
α = 90.00°, β = 90.00°, γ = 90.00°
With the nearest neighbours (Å) after each atom.
Space group Pmc2_1 (No. 26)
Inequivalent atoms, fractional coordinates:
La 0.0000 0.0401 0.0000  5 Tl 3.42-3.75, 2 La 3.58, 2 Pr 3.60, 1 Nd 3.72
Pr 0.5000 0.1772 0.7271  5 Tl 3.32-3.67, 2 La 3.60, 1 Nd 3.68
Nd 0.0000 0.3251 0.3317  4 Tl 3.26-3.33, 2 Nd 3.60
Nd 0.5000 0.4595 0.0541  5 Tl 3.38-3.74, 4 Nd 3.58-3.60, 1 Pr 3.68
Tl 0.0000 0.3568 0.8074  4 Nd 3.26-3.38, 2 Pr 3.32, 1 La 3.51
Tl 0.5000 0.1492 0.2516  3 Nd 3.30-3.46, 3 Pr 3.33-3.67, 2 La 3.42



This record from Alexandria via LeMat-Bulk describes crystalline LaPrNd2Tl at its relaxed geometry. The functional is PBE.

Output
- D(E_F) (states/eV/cell) = 24.73
- DFT formation energy (meV/atom) = 63
- DFT total energy (eV for the cell shown) = -85.170
- total magnetization (μB per formula unit) = 0.000

a = 6.7770 Å, b = 15.3343 Å, c = 6.8597 Å
α = 90.00°, β = 90.00°, γ = 90.00°
With the nearest neighbours (Å) after each atom.
Space group Cmcm (No. 63)
Inequivalent atoms, fractional coordinates:
La 0.0000 0.2473 0.2500  4 Pr 3.67-3.74, 4 Tl 3.75-3.76
Pr 0.0000 0.3449 0.7500  1 Tl 3.03
Nd 0.2429 0.0000 0.0000  2 Tl 3.28, 4 Nd 3.29-3.48, 2 Pr 3.41
Tl 0.0000 0.1474 0.7500  1 Pr 3.03, 4 Nd 3.28



This record from Alexandria via LeMat-Bulk describes crystalline LaPrNdTl at its relaxed geometry. The functional is PBE.

Output
- polymorph energy (0 for the lowest one) (meV per atom) = 0
- D(E_F) (states/eV/cell) = 10.87
- DFT formation energy (meV/atom) = -193
- DFT total energy (eV for the cell shown) = -35.230
- total magnetization (μB per formula unit) = 0.000

a = 4.9442 Å, b = 4.9442 Å, c = 10.4303 Å
α = 90.00°, β = 90.00°, γ = 90.00°
With the nearest neighbours (Å) after each atom.
Space group I-4m2 (No. 119)
Inequivalent atoms, fractional coordinates:
La 0.0000 0.0000 0.0000  4 Tl 3.50, 4 Pr 3.59, 4 Nd 3.59
Pr 0.0000 0.5000 0.7500  4 Nd 3.50, 4 La 3.59, 4 Tl 3.59
Nd 0.0000 0.5000 0.2500  4 Pr 3.50, 4 Tl 3.59, 4 La 3.59
Tl 0.0000 0.0000 0.5000  4 La 3.50, 4 Pr 3.59, 4 Nd 3.59



Which formula does entry 1 have? La6Pr2NdTl